The following is a DFT calculation (PBE) of a relaxed structure of Ge3BAs.

a b c (Å): 4.4363 4.4363 4.4363
angles (deg): 90.00 90.00 90.00
Fractional coordinates of all 5 atoms:
As: 0.5000 0.5000 0.5000
B: 0.0000 0.0000 0.0000
Ge: 0.0000 0.5000 0.0000
Ge: 0.0000 0.0000 0.5000
Ge: 0.5000 0.0000 0.0000

Total magnetic moment, μB per formula unit: 0.00
Formation enthalpy at 0 K, eV per formula unit: 2.98
Offset from the most stable computed form, kJ per mole of atoms: 0.0
Symmetry: Pm-3m, No. 221
Density of states at the Fermi level, states/eV/cell: 1.99